Model a:
PdSF3, relaxed, DFT PBE-GGA; D(E_F) = 9.5 states/eV per cell
1.0
-2.5934 2.3428 2.3353
-2.9579 -2.9709 -0.3045
1.4809 -1.8313 3.4816
S Pd F
1 1 3
direct
0.0000 0.0000 0.0000 S
0.5000 0.5000 0.5000 Pd
0.0000 0.5000 0.0000 F
0.0000 0.0000 0.5000 F
0.5000 0.0000 0.0000 F

***

Model b:
PdSF3, relaxed, DFT PBE-GGA; D(E_F) = 2.3 states/eV per cell
1.0
4.2305 0.0000 0.0000
0.0000 4.2305 0.0000
0.0000 0.0000 4.2305
S Pd F
1 1 3
direct
0.5000 0.5000 0.5000 S
0.0000 0.0000 0.0000 Pd
0.0000 0.5000 0.0000 F
0.0000 0.0000 0.5000 F
0.5000 0.0000 0.0000 F

***

Here is how they stack up, most stable first: model b, model a.

***

Model a:
SbPdF3, relaxed, DFT PBE-GGA; D(E_F) = 6.7 states/eV per cell
1.0
-0.2514 -0.9619 -4.2059
-2.7829 -3.1833 0.8944
-3.2970 2.7603 -0.4342
Sb Pd F
1 1 3
direct
0.5000 0.5000 0.5000 Sb
0.0000 0.0000 0.0000 Pd
0.0000 0.5000 0.0000 F
0.0000 0.0000 0.5000 F
0.5000 0.0000 0.0000 F

***

Model b:
SbPdF3, relaxed, DFT PBE-GGA; D(E_F) = 0.0 states/eV per cell
1.0
4.4516 0.0000 0.0000
0.0000 4.4516 0.0000
0.0000 0.0000 4.4516
Sb Pd F
1 1 3
direct
0.0000 0.0000 0.0000 Sb
0.5000 0.5000 0.5000 Pd
0.0000 0.5000 0.0000 F
0.0000 0.0000 0.5000 F
0.5000 0.0000 0.0000 F

***

Here is how they stack up, most stable first: model b, model a.

***

Model a:
SbTe2PdF, relaxed, DFT PBE-GGA; D(E_F) = 6.6 states/eV per cell
1.0
-2.8594 2.5370 -3.5028
-3.2321 -4.0437 -0.2904
-2.4916 1.7542 3.3045
Sb Te Pd F
1 2 1 1
direct
0.0000 0.0000 0.5000 Sb
0.0000 0.5000 0.0000 Te
0.5000 0.0000 0.0000 Te
0.5000 0.5000 0.5000 Pd
0.0000 0.0000 0.0000 F

***

Model b:
SbTe2PdF, relaxed, DFT PBE-GGA; D(E_F) = 7.0 states/eV per cell
1.0
5.2507 0.0000 0.0000
0.0000 5.2507 0.0000
0.0000 0.0000 5.2294
Sb Te Pd F
1 2 1 1
direct
0.0000 0.0000 0.5000 Sb
0.0000 0.5000 0.0000 Te
0.5000 0.0000 0.0000 Te
0.0000 0.0000 0.0000 Pd
0.5000 0.5000 0.5000 F

***

Here is how they stack up, most stable first: model b, model a.

***

Model a:
Sb2TePdF, relaxed, DFT PBE-GGA; D(E_F) = 5.2 states/eV per cell
1.0
5.1879 0.0000 0.0000
0.0000 5.2997 0.0000
0.0000 0.0000 5.1879
Sb Te Pd F
2 1 1 1
direct
0.0000 0.0000 0.5000 Sb
0.5000 0.0000 0.0000 Sb
0.0000 0.5000 0.0000 Te
0.0000 0.0000 0.0000 Pd
0.5000 0.5000 0.5000 F

***

Model b:
Sb2TePdF, relaxed, DFT PBE-GGA; D(E_F) = 3.4 states/eV per cell
1.0
-1.9012 -3.8602 -1.8351
3.8907 -0.7315 -2.4922
2.0329 -2.9169 4.0298
Sb Te Pd F
2 1 1 1
direct
0.0000 0.5000 0.0000 Sb
0.5000 0.0000 0.0000 Sb
0.0000 0.0000 0.5000 Te
0.5000 0.5000 0.5000 Pd
0.0000 0.0000 0.0000 F

***

Here is how they stack up, most stable first: model b, model a.

***

Model a:
Zn2SbPdF, relaxed, DFT PBE-GGA; D(E_F) = 2.8 states/eV per cell
1.0
5.1543 0.0000 0.0000
0.0000 5.1543 0.0000
0.0000 0.0000 4.2009
Sb Zn Pd F
1 2 1 1
direct
0.0000 0.0000 0.0000 Sb
0.0000 0.5000 0.0000 Zn
0.5000 0.0000 0.0000 Zn
0.5000 0.5000 0.5000 Pd
0.0000 0.0000 0.5000 F

***

Model b:
Zn2SbPdF, relaxed, DFT PBE-GGA; D(E_F) = 1.5 states/eV per cell
1.0
4.9669 0.0000 0.0000
0.0000 4.0586 0.0000
0.0000 0.0000 4.9669
Sb Zn Pd F
1 2 1 1
direct
0.5000 0.5000 0.5000 Sb
0.0000 0.0000 0.5000 Zn
0.5000 0.0000 0.0000 Zn
0.0000 0.0000 0.0000 Pd
0.0000 0.5000 0.0000 F

***

Here is how they stack up, most stable first: model b, model a.

***

Model a:
ScPd3F, relaxed, DFT PBE-GGA; D(E_F) = 2.0 states/eV per cell
1.0
-3.8870 -2.0247 0.2078
1.9667 -3.8516 -0.7405
0.5241 -0.5628 4.3197
Sc Pd F
1 3 1
direct
0.5000 0.5000 0.5000 Sc
0.0000 0.5000 0.0000 Pd
0.0000 0.0000 0.5000 Pd
0.5000 0.0000 0.0000 Pd
0.0000 0.0000 0.0000 F

***

Model b:
ScPd3F, relaxed, DFT PBE-GGA; D(E_F) = 0.7 states/eV per cell
1.0
-1.7390 -4.4810 0.3764
2.8596 -0.7905 3.8004
-3.4705 1.5940 2.9429
Sc Pd F
1 3 1
direct
0.0000 0.0000 0.0000 Sc
0.0000 0.5000 0.0000 Pd
0.0000 0.0000 0.5000 Pd
0.5000 0.0000 0.0000 Pd
0.5000 0.5000 0.5000 F

***

Here is how they stack up, most stable first: model a, model b.